1.
Entry from Alexandria via LeMat-Bulk: an optimized crystal structure of Cs3GeSe3 (PBE).

Cell and atoms, written as POSCAR:
```
Cs3GeSe3
1.0
5.417 -9.354 0.000
5.417 9.354 0.000
0.000 0.000 7.305
Cs Ge Se
6 2 6
direct
0.184 0.368 0.750
0.184 0.816 0.750
0.368 0.184 0.250
0.632 0.816 0.750
0.816 0.184 0.250
0.816 0.632 0.250
0.333 0.667 0.250
0.667 0.333 0.750
0.203 0.797 0.250
0.204 0.407 0.250
0.407 0.204 0.750
0.593 0.796 0.250
0.796 0.593 0.750
0.797 0.203 0.750
```

Values from the calculation:
formation energy from raw total energies	-5.442	eV/f.u.
E above lowest polymorph	240	meV/atom
size of the total moment	0.06	μB per atom
energy	-0.121	Ha/atom


2.
Entry from Alexandria via LeMat-Bulk: an optimized crystal structure of CsRb2WBr8 (PBE).

Cell and atoms, written as POSCAR:
```
CsRb2WBr8
1.0
6.335 0.000 0.000
-2.764 7.597 0.000
-0.005 -0.003 10.579
Cs Rb W Br
1 2 1 8
direct
0.000 0.000 0.000
0.499 0.500 0.233
0.501 0.500 0.767
0.000 0.000 0.500
0.081 0.810 0.331
0.082 0.810 0.669
0.390 0.729 0.000
0.405 0.194 0.500
0.595 0.806 0.500
0.610 0.271 0.000
0.918 0.190 0.331
0.919 0.190 0.669
```

Values from the calculation:
formation energy from raw total energies	-12.673	eV/f.u.
size of the total moment	0.08	μB per atom
energy	-0.128	Ha/atom


3.
Entry from Alexandria via LeMat-Bulk: an optimized crystal structure of Ba3B6H2O13 (PBE).

Cell and atoms, written as POSCAR:
```
Ba3B6H2O13
1.0
7.029 0.000 0.000
0.000 7.118 0.000
-0.075 0.000 11.482
Ba B H O
6 12 4 26
direct
0.000 0.145 0.000
0.000 0.855 0.500
0.299 0.252 0.675
0.299 0.748 0.175
0.621 0.230 0.289
0.621 0.770 0.789
0.169 0.256 0.291
0.169 0.744 0.791
0.311 0.497 0.931
0.311 0.503 0.431
0.494 0.189 0.970
0.494 0.811 0.470
0.652 0.498 0.029
0.652 0.502 0.529
0.804 0.258 0.663
0.804 0.742 0.163
0.978 0.353 0.472
0.978 0.647 0.972
0.622 0.064 0.582
0.622 0.936 0.082
0.860 0.376 0.822
0.860 0.624 0.322
0.019 0.226 0.369
0.019 0.774 0.869
0.139 0.478 0.500
0.139 0.522 0.000
0.208 0.138 0.203
0.208 0.862 0.703
0.284 0.418 0.311
0.284 0.582 0.811
0.347 0.290 0.914
0.347 0.710 0.414
0.475 0.414 0.487
0.475 0.586 0.987
0.504 0.001 0.961
0.504 0.999 0.461
0.628 0.288 0.037
0.628 0.712 0.537
0.670 0.092 0.664
0.670 0.908 0.164
0.701 0.437 0.646
0.701 0.563 0.146
0.807 0.465 0.444
0.807 0.535 0.944
0.903 0.264 0.778
0.903 0.736 0.278
0.945 0.223 0.570
0.945 0.777 0.070
```

Values from the calculation:
size of the total moment	0.00	μB per atom
energy	-0.271	Ha/atom


4.
Entry from Alexandria via LeMat-Bulk: an optimized crystal structure of Ho3ScPd (PBE).

Cell and atoms, written as POSCAR:
```
Ho3ScPd
1.0
5.575 -4.213 0.000
5.575 4.213 0.000
-4.684 0.000 5.996
Ho Sc Pd
6 2 2
direct
0.040 0.040 0.310
0.096 0.495 0.270
0.495 0.096 0.270
0.505 0.904 0.730
0.904 0.505 0.730
0.960 0.960 0.690
0.429 0.429 0.732
0.571 0.571 0.268
0.274 0.274 0.918
0.726 0.726 0.082
```

Values from the calculation:
formation energy	-0.257	eV per atom
size of the total moment	0.00	μB per atom
energy	-0.195	Ha/atom


5.
Entry from Alexandria via LeMat-Bulk: an optimized crystal structure of Cs2H3Pd (PBE).

Cell and atoms, written as POSCAR:
```
Cs2H3Pd
1.0
6.156 -4.348 0.000
6.156 4.348 0.000
-6.137 0.000 6.341
Cs H Pd
4 6 2
direct
0.006 0.514 0.765
0.486 0.994 0.735
0.514 0.006 0.265
0.994 0.486 0.235
0.297 0.703 0.250
0.307 0.311 0.557
0.311 0.307 0.057
0.689 0.693 0.943
0.693 0.689 0.443
0.703 0.297 0.750
0.490 0.510 0.250
0.510 0.490 0.750
```

Values from the calculation:
E above lowest polymorph	0	meV/atom
size of the total moment	0.16	μB per atom
energy	-0.109	Ha/atom


6.
Entry from Alexandria via LeMat-Bulk: an optimized crystal structure of CsNiTeCl6 (PBE).

Cell and atoms, written as POSCAR:
```
CsNiTeCl6
1.0
6.767 0.000 0.000
2.511 6.452 0.000
2.058 -0.064 7.088
Cs Ni Te Cl
1 1 1 6
direct
0.000 0.000 0.000
0.829 0.730 0.640
0.453 0.423 0.529
0.060 0.470 0.787
0.124 0.773 0.425
0.414 0.205 0.308
0.529 0.643 0.775
0.647 0.072 0.701
0.785 0.455 0.305
```

Values from the calculation:
formation energy from raw total energies	-7.523	eV/f.u.
size of the total moment	0.11	μB per atom
energy	-0.116	Ha/atom


What is the formula in the third record?
Ba3B6H2O13


What is the formula in the fifth record?
Cs2H3Pd